Density functional theory data (meta-GGA SCAN) for SrZr2In at its PBEsol-relaxed geometry.

Cell: 3.339 5.583 10.975 Å, 90.00 90.00 90.00°
Space group Imm2 (No. 44)
One atom of each set of equivalent atoms:
Sr 0.000 0.000 0.000 (multiplicity 2)
Zr 0.000 0.000 0.506 (multiplicity 2)
Zr 0.000 0.500 0.778 (multiplicity 2)
In 0.000 0.500 0.239 (multiplicity 2)

Calculated formation energy = 0.22 eV per atom
E_tot = -29.0448 eV per atom
Calculated volume = 25.57 Å³/atom
Calculated density = 6.25 g cm⁻³